(1)
DFT (PBE) results for a geometry-optimized ScPaIrOs structure.

Lattice parameters (Å, degrees): 4.7572 4.7572 4.7572 60.00 60.00 60.00
Positions (direct):
Sc 0.0000 0.0000 0.0000
Pa 0.5000 0.5000 0.5000
Ir 0.7500 0.7500 0.7500
Os 0.2500 0.2500 0.2500

Calculated values
- Formation energy from the elements: -0.5391 eV per atom
- Raw total energy: -9.52 eV/atom
- Theoretical density: 14.36 g cm⁻³

(2)
DFT (PBE) results for a geometry-optimized Ce4Pu2Sb3N2 structure.

Lattice parameters (Å, degrees): 13.3388 13.3388 13.3388 159.60 159.60 29.01
Positions (direct):
Ce 0.0865 0.5865 0.5000
Ce 0.4135 0.9135 0.5000
Ce 0.5865 0.0865 0.5000
Ce 0.9135 0.4135 0.5000
Pu 0.1949 0.1949 0.0000
Pu 0.8051 0.8051 0.0000
Sb 0.3207 0.3207 0.0000
Sb 0.5000 0.5000 0.0000
Sb 0.6793 0.6793 0.0000
N 0.1058 0.1058 0.0000
N 0.8942 0.8942 0.0000

Calculated values
- Raw total energy: -8.38 eV/atom
- Theoretical density: 8.30 g cm⁻³
- Uncorrected formation energy: -981.7 meV per atom

(3)
DFT (PBE) results for a geometry-optimized RuAuCl6 structure.

Lattice parameters (Å, degrees): 6.5045 6.5045 7.0332 105.18 105.18 114.44
Positions (direct):
Ru 0.0000 0.0000 0.0000
Au 0.5000 0.5000 0.5000
Cl 0.0950 0.3920 0.2445
Cl 0.1883 0.1883 0.8131
Cl 0.3920 0.0950 0.2445
Cl 0.6080 0.9050 0.7555
Cl 0.8117 0.8117 0.1869
Cl 0.9050 0.6080 0.7555

Calculated values
- Raw total energy: -3.32 eV/atom
- Theoretical density: 3.58 g cm⁻³
- Uncorrected formation energy: -365.7 meV per atom

(4)
DFT (PBE) results for a geometry-optimized PuPdCl2 structure.

Lattice parameters (Å, degrees): 8.7441 8.7441 8.7441 24.48 24.48 24.48
Positions (direct):
Pu 0.0000 0.0000 0.0000
Pd 0.5000 0.5000 0.5000
Cl 0.1038 0.1038 0.1038
Cl 0.8962 0.8962 0.8962

Calculated values
- Raw total energy: -6.17 eV/atom
- Theoretical density: 6.93 g cm⁻³
- Uncorrected formation energy: -369.8 meV per atom

(5)
DFT (PBE) results for a geometry-optimized Pr12Tl6Cd structure.

Lattice parameters (Å, degrees): 9.1883 9.1883 9.1883 107.55 107.55 107.55
Positions (direct):
Pr 0.0310 0.3415 0.8826
Pr 0.0721 0.4042 0.3177
Pr 0.1174 0.9690 0.6585
Pr 0.3177 0.0721 0.4042
Pr 0.3415 0.8826 0.0310
Pr 0.4042 0.3177 0.0721
Pr 0.5958 0.6823 0.9279
Pr 0.6585 0.1174 0.9690
Pr 0.6823 0.9279 0.5958
Pr 0.8826 0.0310 0.3415
Pr 0.9279 0.5958 0.6823
Pr 0.9690 0.6585 0.1174
Tl 0.2430 0.3575 0.6627
Tl 0.3373 0.7570 0.6425
Tl 0.3575 0.6627 0.2430
Tl 0.6425 0.3373 0.7570
Tl 0.6627 0.2430 0.3575
Tl 0.7570 0.6425 0.3373
Cd 0.0000 0.0000 0.0000

Calculated values
- Formation energy from the elements: -0.0903 eV per atom
- Raw total energy: -3.90 eV/atom
- Theoretical density: 7.91 g cm⁻³

(6)
DFT (PBE) results for a geometry-optimized Ti2NbBr2 structure.

Lattice parameters (Å, degrees): 5.3259 5.3259 5.3259 123.74 123.74 83.63
Positions (direct):
Ti 0.2500 0.7500 0.5000
Ti 0.7500 0.2500 0.5000
Nb 0.0000 0.0000 0.0000
Br 0.3247 0.3247 0.0000
Br 0.6753 0.6753 0.0000

Calculated values
- Raw total energy: -5.46 eV/atom
- Theoretical density: 5.78 g cm⁻³
- Uncorrected formation energy: 381.3 meV per atom

(7)
DFT (PBE) results for a geometry-optimized La4Ho3PuSe8 structure.

Lattice parameters (Å, degrees): 8.4315 8.4315 8.4315 59.38 59.38 59.38
Positions (direct):
La 0.0000 0.0000 0.0000
La 0.0000 0.5000 0.5000
La 0.5000 0.0000 0.5000
La 0.5000 0.5000 0.0000
Ho 0.0000 0.0000 0.5000
Ho 0.0000 0.5000 0.0000
Ho 0.5000 0.0000 0.0000
Pu 0.5000 0.5000 0.5000
Se 0.2406 0.7456 0.7456
Se 0.2431 0.2431 0.2431
Se 0.2544 0.2544 0.7594
Se 0.2544 0.7594 0.2544
Se 0.7456 0.2406 0.7456
Se 0.7456 0.7456 0.2406
Se 0.7569 0.7569 0.7569
Se 0.7594 0.2544 0.2544

Calculated values
- Raw total energy: -6.57 eV/atom
- Theoretical density: 7.65 g cm⁻³
- Uncorrected formation energy: -1846.4 meV per atom

(8)
DFT (PBE) results for a geometry-optimized LaYbSe3 structure.

Lattice parameters (Å, degrees): 7.0245 7.0245 10.0080 90.00 90.00 145.75
Positions (direct):
La 0.2482 0.7518 0.7500
La 0.7518 0.2482 0.2500
Yb 0.5000 0.5000 0.0000
Yb 0.5000 0.5000 0.5000
Se 0.1454 0.8546 0.0654
Se 0.1454 0.8546 0.4346
Se 0.4100 0.5900 0.2500
Se 0.5900 0.4100 0.7500
Se 0.8546 0.1454 0.5654
Se 0.8546 0.1454 0.9346

Calculated values
- Raw total energy: -5.15 eV/atom
- Theoretical density: 6.56 g cm⁻³
- Uncorrected formation energy: -1772.5 meV per atom

(9)
DFT (PBE) results for a geometry-optimized SrInRu3 structure.

Lattice parameters (Å, degrees): 4.9492 4.9492 4.9492 90.00 90.00 90.00
Positions (direct):
Sr 0.0000 0.0000 0.0000
In 0.5000 0.5000 0.5000
Ru 0.0000 0.0000 0.5000
Ru 0.0000 0.5000 0.0000
Ru 0.5000 0.0000 0.0000

Calculated values
- Formation energy from the elements: 2.2846 eV per atom
- Raw total energy: -4.17 eV/atom
- Theoretical density: 6.93 g cm⁻³

(10)
DFT (PBE) results for a geometry-optimized Tl2In2Se structure.

Lattice parameters (Å, degrees): 8.0909 8.0909 4.6575 90.00 90.00 90.00
Positions (direct):
Tl 0.1490 0.3510 0.0000
Tl 0.3510 0.8510 0.0000
Tl 0.6490 0.1490 0.0000
Tl 0.8510 0.6490 0.0000
In 0.1595 0.6595 0.5000
In 0.3405 0.1595 0.5000
In 0.6595 0.8405 0.5000
In 0.8405 0.3405 0.5000
Se 0.0000 0.0000 0.0000
Se 0.5000 0.5000 0.0000

Calculated values
- Raw total energy: -2.73 eV/atom
- Theoretical density: 7.81 g cm⁻³
- Uncorrected formation energy: 12.6 meV per atom

(11)
DFT (PBE) results for a geometry-optimized Sm5Te4Au structure.

Lattice parameters (Å, degrees): 7.6421 7.6421 7.6421 99.70 99.70 131.53
Positions (direct):
Sm 0.0000 0.0000 0.0000
Sm 0.2151 0.5992 0.8143
Sm 0.4008 0.2151 0.6159
Sm 0.5992 0.7849 0.3841
Sm 0.7849 0.4008 0.1857
Te 0.0924 0.3049 0.3974
Te 0.3049 0.9076 0.2125
Te 0.6951 0.0924 0.7875
Te 0.9076 0.6951 0.6026
Au 0.5000 0.5000 0.0000

Calculated values
- Raw total energy: -5.23 eV/atom
- Theoretical density: 7.95 g cm⁻³
- Uncorrected formation energy: -1287.3 meV per atom

(12)
DFT (PBE) results for a geometry-optimized La2InRh structure.

Lattice parameters (Å, degrees): 7.8647 7.8647 7.5257 90.00 90.00 150.30
Positions (direct):
La 0.1411 0.8589 0.5019
La 0.1411 0.8589 0.9981
La 0.8589 0.1411 0.0019
La 0.8589 0.1411 0.4981
In 0.4968 0.5032 0.7500
In 0.5032 0.4968 0.2500
Rh 0.3077 0.6923 0.7500
Rh 0.6923 0.3077 0.2500

Calculated values
- Formation energy from the elements: -0.6326 eV per atom
- Raw total energy: -5.62 eV/atom
- Theoretical density: 7.14 g cm⁻³